1.
Tc2AgOs | GGA-PBEsol | optimized geometry

Cell and atoms, written as CIF:
```
data_Tc2AgOs
_cell_length_a 2.7133
_cell_length_b 3.8951
_cell_length_c 5.5221
_cell_angle_alpha 90.00
_cell_angle_beta 90.00
_cell_angle_gamma 90.00
_symmetry_space_group_name_H-M 'P 1'
_symmetry_Int_Tables_number 1
_symmetry_space_group_name_Hall 'P 1'
loop_
_atom_site_label
_atom_site_fract_x
_atom_site_fract_y
_atom_site_fract_z
Tc1 0.0000 0.5000 0.2279
Tc2 0.5000 0.0000 0.9968
Ag1 0.5000 0.0000 0.4991
Os1 0.0000 0.5000 0.7762
```

Summary:
* energy relative to the elements: 1.560 eV per formula unit
* relative energy among the computed polymorphs: 78 meV per atom
* SG: Pmm2 (25)

=====

2.
MgRuPt | GGA-PBEsol | optimized geometry

Cell and atoms, written as CIF:
```
data_MgRuPt
_cell_length_a 2.7286
_cell_length_b 2.7286
_cell_length_c 6.3103
_cell_angle_alpha 102.49
_cell_angle_beta 102.49
_cell_angle_gamma 90.00
_symmetry_space_group_name_H-M 'P 1'
_symmetry_Int_Tables_number 1
_symmetry_space_group_name_Hall 'P 1'
loop_
_atom_site_label
_atom_site_fract_x
_atom_site_fract_y
_atom_site_fract_z
Pt1 0.3280 0.3280 0.6559
Ru1 0.6725 0.6725 0.3451
Mg1 0.9995 0.9995 0.9990
```

Summary:
* energy relative to the elements: -0.417 eV per formula unit
* SG: I4mm (107)

=====

3.
Zr2CrAg | GGA-PBEsol | optimized geometry

Cell and atoms, written as CIF:
```
data_Zr2CrAg
_cell_length_a 3.0208
_cell_length_b 3.0208
_cell_length_c 9.6252
_cell_angle_alpha 80.97
_cell_angle_beta 80.97
_cell_angle_gamma 60.00
_symmetry_space_group_name_H-M 'P 1'
_symmetry_Int_Tables_number 1
_symmetry_space_group_name_Hall 'P 1'
loop_
_atom_site_label
_atom_site_fract_x
_atom_site_fract_y
_atom_site_fract_z
Cr1 0.2495 0.2495 0.2516
Zr1 0.9922 0.9922 0.0234
Zr2 0.7527 0.7527 0.7419
Ag1 0.5057 0.5057 0.4830
```

Summary:
* energy relative to the elements: 1.572 eV per formula unit
* relative energy among the computed polymorphs: 167 meV per atom
* SG: R3m (160)

=====

4.
FeAsPb2 | GGA-PBEsol | optimized geometry

Cell and atoms, written as CIF:
```
data_FeAsPb2
_cell_length_a 3.9872
_cell_length_b 4.9976
_cell_length_c 5.4436
_cell_angle_alpha 117.32
_cell_angle_beta 111.48
_cell_angle_gamma 90.00
_symmetry_space_group_name_H-M 'P 1'
_symmetry_Int_Tables_number 1
_symmetry_space_group_name_Hall 'P 1'
loop_
_atom_site_label
_atom_site_fract_x
_atom_site_fract_y
_atom_site_fract_z
Pb1 0.2625 0.2625 0.5249
Pb2 0.7375 0.7375 0.4751
As1 0.5000 0.0000 0.0000
Fe1 0.0000 0.5000 0.0000
```

Summary:
* energy relative to the elements: 2.401 eV per formula unit
* SG: Immm (71)

=====

5.
ErCoSn | GGA-PBEsol | optimized geometry

Cell and atoms, written as CIF:
```
data_ErCoSn
_cell_length_a 4.4950
_cell_length_b 7.0928
_cell_length_c 7.1515
_cell_angle_alpha 90.00
_cell_angle_beta 90.00
_cell_angle_gamma 90.00
_symmetry_space_group_name_H-M 'P 1'
_symmetry_Int_Tables_number 1
_symmetry_space_group_name_Hall 'P 1'
loop_
_atom_site_label
_atom_site_fract_x
_atom_site_fract_y
_atom_site_fract_z
Co1 0.2500 0.1558 0.5579
Co2 0.2500 0.6558 0.9421
Co3 0.7500 0.8442 0.4421
Co4 0.7500 0.3442 0.0579
Sn1 0.2500 0.7968 0.6092
Sn2 0.7500 0.2032 0.3908
Sn3 0.2500 0.2968 0.8908
Sn4 0.7500 0.7032 0.1092
Er1 0.2500 0.4771 0.3002
Er2 0.2500 0.9771 0.1998
Er3 0.7500 0.5229 0.6998
Er4 0.7500 0.0229 0.8002
```

Summary:
* energy relative to the elements: -1.619 eV per formula unit
* SG: Pnma (62)

=====

6.
MgCdHg2 | GGA-PBEsol | optimized geometry

Cell and atoms, written as CIF:
```
data_MgCdHg2
_cell_length_a 4.6202
_cell_length_b 5.1296
_cell_length_c 4.6202
_cell_angle_alpha 116.77
_cell_angle_beta 90.00
_cell_angle_gamma 116.77
_symmetry_space_group_name_H-M 'P 1'
_symmetry_Int_Tables_number 1
_symmetry_space_group_name_Hall 'P 1'
loop_
_atom_site_label
_atom_site_fract_x
_atom_site_fract_y
_atom_site_fract_z
Hg1 0.7500 0.5000 0.2500
Hg2 0.2500 0.5000 0.7500
Mg1 0.0000 0.0000 0.0000
Cd1 0.5000 0.0000 0.5000
```

Summary:
* energy relative to the elements: -0.624 eV per formula unit
* SG: I4/mmm (139)

=====

7.
CrOs2Ru | GGA-PBEsol | optimized geometry

Cell and atoms, written as CIF:
```
data_CrOs2Ru
_cell_length_a 2.7735
_cell_length_b 4.4040
_cell_length_c 4.4040
_cell_angle_alpha 90.00
_cell_angle_beta 90.00
_cell_angle_gamma 90.00
_symmetry_space_group_name_H-M 'P 1'
_symmetry_Int_Tables_number 1
_symmetry_space_group_name_Hall 'P 1'
loop_
_atom_site_label
_atom_site_fract_x
_atom_site_fract_y
_atom_site_fract_z
Ru1 0.5000 0.5000 0.5000
Os1 0.0000 0.5000 0.0000
Os2 0.0000 0.0000 0.5000
Cr1 0.5000 0.0000 0.0000
```

Summary:
* energy relative to the elements: 2.002 eV per formula unit
* relative energy among the computed polymorphs: 0 meV per atom
* SG: P4/mmm (123)

=====

8.
LiInCl2 | GGA-PBEsol | optimized geometry

Cell and atoms, written as CIF:
```
data_LiInCl2
_cell_length_a 6.3247
_cell_length_b 6.3247
_cell_length_c 6.3247
_cell_angle_alpha 104.93
_cell_angle_beta 111.79
_cell_angle_gamma 111.79
_symmetry_space_group_name_H-M 'P 1'
_symmetry_Int_Tables_number 1
_symmetry_space_group_name_Hall 'P 1'
loop_
_atom_site_label
_atom_site_fract_x
_atom_site_fract_y
_atom_site_fract_z
Li1 0.0000 0.5000 0.5000
Li2 0.5000 0.2500 0.7500
In1 0.5000 0.7500 0.2500
In2 0.0000 0.0000 0.0000
Cl1 0.9202 0.3750 0.7952
Cl2 0.4202 0.5452 0.6250
Cl3 0.0798 0.8750 0.4548
Cl4 0.5798 0.2048 0.1250
```

Summary:
* raw formation energy: -1.22 eV/atom
* relative energy among the computed polymorphs: 9 meV per atom
* SG: I-42d (122)

=====

9.
Mg16Al12Ga | GGA-PBEsol | optimized geometry

Cell and atoms, written as CIF:
```
data_Mg16Al12Ga
_cell_length_a 9.0553
_cell_length_b 9.0553
_cell_length_c 9.0553
_cell_angle_alpha 109.47
_cell_angle_beta 109.47
_cell_angle_gamma 109.47
_symmetry_space_group_name_H-M 'P 1'
_symmetry_Int_Tables_number 1
_symmetry_space_group_name_Hall 'P 1'
loop_
_atom_site_label
_atom_site_fract_x
_atom_site_fract_y
_atom_site_fract_z
Al1 0.0000 0.8142 0.6316
Al2 0.8142 0.6316 0.0000
Al3 0.6316 0.0000 0.8142
Al4 0.3684 0.1826 0.3684
Al5 0.6316 0.8142 0.0000
Al6 0.1858 0.1858 0.8174
Al7 0.3684 0.3684 0.1826
Al8 0.1826 0.3684 0.3684
Al9 0.8142 0.0000 0.6316
Al10 0.1858 0.8174 0.1858
Al11 0.8174 0.1858 0.1858
Al12 0.0000 0.6316 0.8142
Mg1 0.0000 0.3140 0.5988
Mg2 0.4012 0.4012 0.7152
Mg3 0.4012 0.7152 0.4012
Mg4 0.6653 0.6653 0.6653
Mg5 0.6860 0.6860 0.2848
Mg6 0.0000 0.0000 0.3347
Mg7 0.5988 0.0000 0.3140
Mg8 0.7152 0.4012 0.4012
Mg9 0.6860 0.2848 0.6860
Mg10 0.0000 0.5988 0.3140
Mg11 0.3347 0.0000 0.0000
Mg12 0.3140 0.5988 0.0000
Mg13 0.0000 0.3347 0.0000
Mg14 0.5988 0.3140 0.0000
Mg15 0.3140 0.0000 0.5988
Mg16 0.2848 0.6860 0.6860
Ga1 0.0000 0.0000 0.0000
```

Summary:
* energy relative to the elements: -0.227 eV per formula unit
* relative energy among the computed polymorphs: 12 meV per atom
* SG: I-43m (217)

=====

10.
LaNbB2Mo | GGA-PBEsol | optimized geometry

Cell and atoms, written as CIF:
```
data_LaNbB2Mo
_cell_length_a 4.3620
_cell_length_b 4.3620
_cell_length_c 4.7581
_cell_angle_alpha 90.00
_cell_angle_beta 90.00
_cell_angle_gamma 90.00
_symmetry_space_group_name_H-M 'P 1'
_symmetry_Int_Tables_number 1
_symmetry_space_group_name_Hall 'P 1'
loop_
_atom_site_label
_atom_site_fract_x
_atom_site_fract_y
_atom_site_fract_z
B1 0.5000 0.0000 0.0000
B2 0.0000 0.5000 0.0000
Nb1 0.5000 0.5000 0.5000
La1 0.0000 0.0000 0.0000
Mo1 0.0000 0.0000 0.5000
```

Summary:
* energy relative to the elements: 12.649 eV per formula unit
* SG: P4/mmm (123)

=====

11.
KAl2Rh | GGA-PBEsol | optimized geometry

Cell and atoms, written as CIF:
```
data_KAl2Rh
_cell_length_a 3.2640
_cell_length_b 3.2640
_cell_length_c 7.9197
_cell_angle_alpha 90.00
_cell_angle_beta 90.00
_cell_angle_gamma 90.00
_symmetry_space_group_name_H-M 'P 1'
_symmetry_Int_Tables_number 1
_symmetry_space_group_name_Hall 'P 1'
loop_
_atom_site_label
_atom_site_fract_x
_atom_site_fract_y
_atom_site_fract_z
Al1 0.0000 0.0000 0.9555
Al2 0.5000 0.5000 0.1717
K1 0.0000 0.0000 0.5205
Rh1 0.5000 0.5000 0.8522
```

Summary:
* energy relative to the elements: -0.406 eV per formula unit
* relative energy among the computed polymorphs: 0 meV per atom
* SG: P4mm (99)

=====

12.
Ba2HgAu | GGA-PBEsol | optimized geometry

Cell and atoms, written as CIF:
```
data_Ba2HgAu
_cell_length_a 4.6805
_cell_length_b 4.6805
_cell_length_c 8.4516
_cell_angle_alpha 73.92
_cell_angle_beta 73.92
_cell_angle_gamma 60.00
_symmetry_space_group_name_H-M 'P 1'
_symmetry_Int_Tables_number 1
_symmetry_space_group_name_Hall 'P 1'
loop_
_atom_site_label
_atom_site_fract_x
_atom_site_fract_y
_atom_site_fract_z
Ba1 0.2427 0.2427 0.2719
Ba2 0.7573 0.7573 0.7281
Hg1 0.0000 0.0000 0.0000
Au1 0.5000 0.5000 0.5000
```

Summary:
* energy relative to the elements: -1.982 eV per formula unit
* SG: R-3m (166)

=====

13.
Li2TlSe | GGA-PBEsol | optimized geometry

Cell and atoms, written as CIF:
```
data_Li2TlSe
_cell_length_a 3.9546
_cell_length_b 3.9546
_cell_length_c 5.7088
_cell_angle_alpha 110.26
_cell_angle_beta 110.26
_cell_angle_gamma 90.00
_symmetry_space_group_name_H-M 'P 1'
_symmetry_Int_Tables_number 1
_symmetry_space_group_name_Hall 'P 1'
loop_
_atom_site_label
_atom_site_fract_x
_atom_site_fract_y
_atom_site_fract_z
Se1 0.5000 0.5000 0.0000
Li1 0.0000 0.0000 0.0000
Li2 0.7500 0.2500 0.5000
Tl1 0.2500 0.7500 0.5000
```

Summary:
* raw formation energy: -0.55 eV/atom
* SG: I-4m2 (119)

=====

14.
Sb2PbCl | GGA-PBEsol | optimized geometry

Cell and atoms, written as CIF:
```
data_Sb2PbCl
_cell_length_a 5.2353
_cell_length_b 5.2353
_cell_length_c 5.2353
_cell_angle_alpha 60.00
_cell_angle_beta 60.00
_cell_angle_gamma 60.00
_symmetry_space_group_name_H-M 'P 1'
_symmetry_Int_Tables_number 1
_symmetry_space_group_name_Hall 'P 1'
loop_
_atom_site_label
_atom_site_fract_x
_atom_site_fract_y
_atom_site_fract_z
Cl1 0.5000 0.5000 0.5000
Sb1 0.0000 0.0000 0.0000
Sb2 0.7500 0.7500 0.7500
Pb1 0.2500 0.2500 0.2500
```

Summary:
* raw formation energy: -0.17 eV/atom
* relative energy among the computed polymorphs: 25 meV per atom
* SG: F-43m (216)

=====

15.
LiTl3Sb | GGA-PBEsol | optimized geometry

Cell and atoms, written as CIF:
```
data_LiTl3Sb
_cell_length_a 5.8829
_cell_length_b 5.8829
_cell_length_c 5.8829
_cell_angle_alpha 90.00
_cell_angle_beta 90.00
_cell_angle_gamma 90.00
_symmetry_space_group_name_H-M 'P 1'
_symmetry_Int_Tables_number 1
_symmetry_space_group_name_Hall 'P 1'
loop_
_atom_site_label
_atom_site_fract_x
_atom_site_fract_y
_atom_site_fract_z
Tl1 0.5000 0.0000 0.0000
Tl2 0.0000 0.0000 0.5000
Tl3 0.0000 0.5000 0.0000
Li1 0.5000 0.5000 0.5000
Sb1 0.0000 0.0000 0.0000
```

Summary:
* raw formation energy: 0.41 eV/atom
* SG: Pm-3m (221)

=====

16.
RePO5 | GGA-PBEsol | optimized geometry

Cell and atoms, written as CIF:
```
data_RePO5
_cell_length_a 5.2910
_cell_length_b 8.8807
_cell_length_c 8.8807
_cell_angle_alpha 92.65
_cell_angle_beta 90.07
_cell_angle_gamma 90.07
_symmetry_space_group_name_H-M 'P 1'
_symmetry_Int_Tables_number 1
_symmetry_space_group_name_Hall 'P 1'
loop_
_atom_site_label
_atom_site_fract_x
_atom_site_fract_y
_atom_site_fract_z
O1 0.7500 0.9197 0.0803
O2 0.9819 0.1762 0.1576
O3 0.2609 0.4397 0.1770
O4 0.9549 0.0655 0.6701
O5 0.4767 0.0912 0.6460
O6 0.7500 0.3220 0.6780
O7 0.0181 0.8238 0.8424
O8 0.0451 0.9345 0.3299
O9 0.5233 0.9088 0.3540
O10 0.4819 0.1576 0.1762
O11 0.5451 0.3299 0.9345
O12 0.5181 0.8424 0.8238
O13 0.7391 0.5603 0.8230
O14 0.2500 0.6780 0.3220
O15 0.2391 0.8230 0.5603
O16 0.4549 0.6701 0.0655
O17 0.7609 0.1770 0.4397
O18 0.0233 0.3540 0.9088
O19 0.9767 0.6460 0.0912
O20 0.2500 0.0803 0.9197
Re1 0.2491 0.9476 0.7535
Re2 0.2509 0.2465 0.0524
Re3 0.7491 0.7535 0.9476
Re4 0.7509 0.0524 0.2465
P1 0.2364 0.6084 0.1526
P2 0.7636 0.3916 0.8474
P3 0.2636 0.8474 0.3916
P4 0.7364 0.1526 0.6084
```

Summary:
* raw formation energy: -1.85 eV/atom
* SG: C2/c (15)

=====

17.
Tc2HgCl | GGA-PBEsol | optimized geometry

Cell and atoms, written as CIF:
```
data_Tc2HgCl
_cell_length_a 4.4487
_cell_length_b 4.4487
_cell_length_c 4.4485
_cell_angle_alpha 120.00
_cell_angle_beta 120.00
_cell_angle_gamma 90.00
_symmetry_space_group_name_H-M 'P 1'
_symmetry_Int_Tables_number 1
_symmetry_space_group_name_Hall 'P 1'
loop_
_atom_site_label
_atom_site_fract_x
_atom_site_fract_y
_atom_site_fract_z
Tc1 0.2500 0.7500 0.5000
Tc2 0.7500 0.2500 0.5000
Hg1 0.0000 0.0000 0.0000
Cl1 0.5000 0.5000 0.0000
```

Summary:
* raw formation energy: 1.09 eV/atom
* relative energy among the computed polymorphs: 413 meV per atom
* SG: Fm-3m (225)

=====

18.
CrH3Cl | GGA-PBEsol | optimized geometry

Cell and atoms, written as CIF:
```
data_CrH3Cl
_cell_length_a 3.5191
_cell_length_b 3.5191
_cell_length_c 3.5191
_cell_angle_alpha 90.00
_cell_angle_beta 90.00
_cell_angle_gamma 90.00
_symmetry_space_group_name_H-M 'P 1'
_symmetry_Int_Tables_number 1
_symmetry_space_group_name_Hall 'P 1'
loop_
_atom_site_label
_atom_site_fract_x
_atom_site_fract_y
_atom_site_fract_z
H1 0.5000 0.0000 0.0000
H2 0.0000 0.0000 0.5000
H3 0.0000 0.5000 0.0000
Cl1 0.5000 0.5000 0.5000
Cr1 0.0000 0.0000 0.0000
```

Summary:
* SG: Pm-3m (221)

=====

19.
ScFe2P | GGA-PBEsol | optimized geometry

Cell and atoms, written as CIF:
```
data_ScFe2P
_cell_length_a 3.0335
_cell_length_b 3.9578
_cell_length_c 4.8354
_cell_angle_alpha 114.16
_cell_angle_beta 108.28
_cell_angle_gamma 90.00
_symmetry_space_group_name_H-M 'P 1'
_symmetry_Int_Tables_number 1
_symmetry_space_group_name_Hall 'P 1'
loop_
_atom_site_label
_atom_site_fract_x
_atom_site_fract_y
_atom_site_fract_z
Fe1 0.0133 0.0133 0.0266
Fe2 0.7647 0.2647 0.5295
P1 0.4751 0.4751 0.9502
Sc1 0.2468 0.7468 0.4937
```

Summary:
* energy relative to the elements: -1.377 eV per formula unit
* SG: Imm2 (44)

=====

20.
Li2AlIn | GGA-PBEsol | optimized geometry

Cell and atoms, written as CIF:
```
data_Li2AlIn
_cell_length_a 2.9629
_cell_length_b 4.0936
_cell_length_c 5.7953
_cell_angle_alpha 90.00
_cell_angle_beta 90.00
_cell_angle_gamma 90.00
_symmetry_space_group_name_H-M 'P 1'
_symmetry_Int_Tables_number 1
_symmetry_space_group_name_Hall 'P 1'
loop_
_atom_site_label
_atom_site_fract_x
_atom_site_fract_y
_atom_site_fract_z
In1 0.5000 0.5000 0.0000
Li1 0.0000 0.0000 0.2586
Li2 0.0000 0.0000 0.7413
Al1 0.5000 0.5000 0.5000
```

Summary:
* energy relative to the elements: -0.725 eV per formula unit
* SG: Pmmm (47)

=====

no.,E (eV per atom)
1,-9.13
2,-6.42
3,-7.54
4,-4.92
5,-6.18
6,-1.17
7,-10.71
8,-3.47
9,-2.76
10,-5.86
11,-4.47
12,-2.69
13,-3.16
14,-3.95
15,-2.47
16,-8.33
17,-5.19
18,-3.92
19,-7.93
20,-2.93